Entry from the Alexandria database: a geometry-optimized KNaH2Ir structure (PBE-GGA).

a b c (Å): 3.8461 3.8461 5.5349
angles (deg): 90.00 90.00 90.00
Last column: nearest neighbours and their distance in Å.
Fractional coordinates of all 5 atoms:
K: 0.0000 0.0000 0.0000  4 Na 2.72, 2 Ir 2.77
Na: 0.5000 0.5000 0.0000  4 K 2.72
H: 0.0000 0.5000 0.5000  2 Ir 1.92
H: 0.5000 0.0000 0.5000  2 Ir 1.92
Ir: 0.0000 0.0000 0.5000  4 H 1.92

SG: No. 123
Uncorrected energy (eV/cell): -14.4
Total magnetic moment (μB per atom): 0.0000
Crystal system: tetragonal